! PBE SrSmCd17, optimized geometry; values from VASP
&SYSTEM
  ibrav = 0, nat = 19, ntyp = 3
/
ATOMIC_SPECIES
Cd 112.41 Cd.upf
Sm 150.36 Sm.upf
Sr 87.62 Sr.upf
CELL_PARAMETERS angstrom
7.669 0.063 0.975
0.867 7.620 0.975
0.070 0.063 7.731
ATOMIC_POSITIONS crystal
Cd 0.349 0.349 0.865
Cd 0.298 0.002 0.699
Cd 0.002 0.298 0.699
Cd 0.516 0.986 0.986
Cd 0.105 0.105 0.105
Sm 0.329 0.329 0.329
Cd 0.349 0.865 0.349
Cd 0.298 0.699 0.002
Cd 0.628 0.628 0.190
Cd 0.628 0.190 0.628
Cd 0.699 0.298 0.002
Cd 0.906 0.906 0.906
Cd 0.190 0.628 0.628
Cd 0.865 0.349 0.349
Cd 0.002 0.699 0.298
Cd 0.986 0.516 0.986
Cd 0.986 0.986 0.516
Sr 0.665 0.665 0.665
Cd 0.699 0.002 0.298
! VASP energy ... -24.84 eV per cell
! Energy of formation ... -3.50 kcal/mol of atoms
! Size of the total moment ... 0.000 μB/cell
! Space group ... R3m

---

! PBE Cs3Np2AgO9, optimized geometry; values from VASP
&SYSTEM
  ibrav = 0, nat = 15, ntyp = 4
/
ATOMIC_SPECIES
O 16.00 O.upf
Ag 107.87 Ag.upf
Cs 132.91 Cs.upf
Np 237.00 Np.upf
CELL_PARAMETERS angstrom
-5.237 3.036 -1.828
-0.316 -6.061 1.775
-1.289 2.238 7.413
ATOMIC_POSITIONS crystal
O 0.376 0.188 0.705
O 0.500 0.500 0.000
Ag 0.000 0.000 0.500
O 0.812 0.624 0.705
Cs 0.000 0.000 0.000
O 0.188 0.376 0.295
Np 0.667 0.333 0.849
O 0.000 0.500 0.000
Cs 0.333 0.667 0.646
Cs 0.667 0.333 0.354
Np 0.333 0.667 0.151
O 0.812 0.188 0.705
O 0.500 0.000 0.000
O 0.624 0.812 0.295
O 0.188 0.812 0.295
! Raw formation energy ... -2.084 eV per atom
! VASP energy ... -107.18 eV per cell
! Size of the total moment ... 0.000 μB/cell
! Space group ... P-3m1

---

! PBE KTl6Pb4, optimized geometry; values from VASP
&SYSTEM
  ibrav = 0, nat = 11, ntyp = 3
/
ATOMIC_SPECIES
Pb 207.20 Pb.upf
Tl 204.38 Tl.upf
K 39.10 K.upf
CELL_PARAMETERS angstrom
-1.439 0.925 4.948
-1.148 -9.067 1.360
8.204 3.918 1.653
ATOMIC_POSITIONS crystal
Pb 0.500 0.422 0.211
Pb 0.500 0.789 0.578
Tl 0.500 0.201 0.799
Tl 0.500 0.201 0.403
Tl 0.500 0.597 0.799
Tl 0.000 0.533 0.467
Tl 0.000 0.935 0.467
K 0.000 0.000 0.000
Pb 0.500 0.789 0.211
Tl 0.000 0.533 0.065
Pb 0.000 0.333 0.667
! VASP energy ... -29.96 eV per cell
! Energy of formation ... 0.36 kcal/mol of atoms
! Size of the total moment ... 0.000 μB/cell
! Space group ... P-6m2